# K4Ho3PtO8 | the Alexandria database | PBE | optimized geometry
data_K4Ho3PtO8
_chemical_formula_sum 'K4 Ho3 Pt1 O8'
_cell_length_a 6.896
_cell_length_b 6.896
_cell_length_c 7.322
_cell_angle_alpha 117.05
_cell_angle_beta 117.05
_cell_angle_gamma 58.39
_symmetry_space_group_name_H-M 'P 1'
_symmetry_Int_Tables_number 1
_symmetry_space_group_name_Hall 'P 1'
loop_
_atom_site_label
_atom_site_type_symbol
_atom_site_fract_x
_atom_site_fract_y
_atom_site_fract_z
_atom_site_occupancy
K1 K 0.000 0.000 0.000 1
K2 K 0.000 0.500 0.000 1
K3 K 0.500 0.000 0.000 1
K4 K 0.500 0.500 0.000 1
Ho1 Ho 0.000 0.000 0.500 1
Ho2 Ho 0.000 0.500 0.500 1
Ho3 Ho 0.500 0.000 0.500 1
Pt1 Pt 0.500 0.500 0.500 1
O1 O 0.223 0.223 0.684 1
O2 O 0.243 0.243 0.288 1
O3 O 0.243 0.712 0.677 1
O4 O 0.288 0.757 0.323 1
O5 O 0.712 0.243 0.677 1
O6 O 0.757 0.288 0.323 1
O7 O 0.757 0.757 0.712 1
O8 O 0.777 0.777 0.316 1
# ΔE_f (raw)   -2.2404 eV per atom
# Theoretical density   6.4 g/cm³
# D(E_F)   0.0 states/eV per cell